# AcGdTlPd, relaxed, DFT PBE
# ρ: 10.1 g cm⁻³
# formation energy from the elements: -0.457 eV per atom
# size of the total moment: 28.830 μB per cell
data_AcGdTlPd
_space_group_name_H-M_alt 'F -4 3 m'
_space_group_IT_number 216
_space_group_name_Hall 'F -4 2 3'
_cell_length_a 7.694
_cell_length_b 7.694
_cell_length_c 7.694
_cell_angle_alpha 90.00
_cell_angle_beta 90.00
_cell_angle_gamma 90.00
loop_
_atom_site_label
_atom_site_type_symbol
_atom_site_fract_x
_atom_site_fract_y
_atom_site_fract_z
Ac1 Ac 0.000 0.000 0.000
Gd1 Gd 0.000 0.000 0.500
Tl1 Tl 0.250 0.250 0.250
Pd1 Pd 0.250 0.250 0.750

***

# AcGdZnPd, relaxed, DFT PBE
# ρ: 8.9 g cm⁻³
# formation energy from the elements: -0.479 eV per atom
# size of the total moment: 28.597 μB per cell
data_AcGdZnPd
_space_group_name_H-M_alt 'F -4 3 m'
_space_group_IT_number 216
_space_group_name_Hall 'F -4 2 3'
_cell_length_a 7.449
_cell_length_b 7.449
_cell_length_c 7.449
_cell_angle_alpha 90.00
_cell_angle_beta 90.00
_cell_angle_gamma 90.00
loop_
_atom_site_label
_atom_site_type_symbol
_atom_site_fract_x
_atom_site_fract_y
_atom_site_fract_z
Ac1 Ac 0.000 0.000 0.000
Gd1 Gd 0.000 0.000 0.500
Zn1 Zn 0.250 0.250 0.250
Pd1 Pd 0.250 0.250 0.750

***

# AcPm2Gd, relaxed, DFT PBE
# ρ: 7.7 g cm⁻³
# offset from the most stable computed form: 0.011 eV/atom
# formation energy from the elements: 0.040 eV per atom
# size of the total moment: 7.332 μB per cell
data_AcPm2Gd
_space_group_name_H-M_alt 'P 4/m m m'
_space_group_IT_number 123
_space_group_name_Hall '-P 4 2'
_cell_length_a 3.754
_cell_length_b 3.754
_cell_length_c 10.341
_cell_angle_alpha 90.00
_cell_angle_beta 90.00
_cell_angle_gamma 90.00
loop_
_atom_site_label
_atom_site_type_symbol
_atom_site_fract_x
_atom_site_fract_y
_atom_site_fract_z
Ac1 Ac 0.000 0.000 0.000
Pm1 Pm 0.500 0.500 0.263
Gd1 Gd 0.000 0.000 0.500

***

# AcPm2Gd, relaxed, DFT PBE
# ρ: 7.7 g cm⁻³
# offset from the most stable computed form: 0.097 eV/atom
# formation energy from the elements: 0.126 eV per atom
# size of the total moment: 35.283 μB per cell
data_AcPm2Gd
_space_group_name_H-M_alt 'F m -3 m'
_space_group_IT_number 225
_space_group_name_Hall '-F 4 2 3'
_cell_length_a 8.363
_cell_length_b 8.363
_cell_length_c 8.363
_cell_angle_alpha 90.00
_cell_angle_beta 90.00
_cell_angle_gamma 90.00
loop_
_atom_site_label
_atom_site_type_symbol
_atom_site_fract_x
_atom_site_fract_y
_atom_site_fract_z
Ac1 Ac 0.000 0.000 0.000
Pm1 Pm 0.250 0.250 0.250
Gd1 Gd 0.000 0.000 0.500

***

# AcPm2Gd, relaxed, DFT PBE
# ρ: 7.7 g cm⁻³
# offset from the most stable computed form: 0.000 eV/atom
# formation energy from the elements: 0.029 eV per atom
# size of the total moment: 7.464 μB per cell
data_AcPm2Gd
_space_group_name_H-M_alt 'P 4/m m m'
_space_group_IT_number 123
_space_group_name_Hall '-P 4 2'
_cell_length_a 5.251
_cell_length_b 5.251
_cell_length_c 5.267
_cell_angle_alpha 90.00
_cell_angle_beta 90.00
_cell_angle_gamma 90.00
loop_
_atom_site_label
_atom_site_type_symbol
_atom_site_fract_x
_atom_site_fract_y
_atom_site_fract_z
Ac1 Ac 0.000 0.000 0.000
Pm1 Pm 0.000 0.500 0.500
Gd1 Gd 0.500 0.500 0.000

***

# AcPm2Gd, relaxed, DFT PBE
# ρ: 7.6 g cm⁻³
# offset from the most stable computed form: 0.140 eV/atom
# formation energy from the elements: 0.169 eV per atom
# size of the total moment: 21.325 μB per cell
data_AcPm2Gd
_space_group_name_H-M_alt 'R -3 m'
_space_group_IT_number 166
_space_group_name_Hall '-R 3 2"'
_cell_length_a 3.6396
_cell_length_b 3.6396
_cell_length_c 38.7398
_cell_angle_alpha 90.00
_cell_angle_beta 90.00
_cell_angle_gamma 120.00
loop_
_atom_site_label
_atom_site_type_symbol
_atom_site_fract_x
_atom_site_fract_y
_atom_site_fract_z
Ac1 Ac 0.0000 0.0000 0.0000
Pm1 Pm 0.0000 0.0000 0.0920
Gd1 Gd 0.0000 0.0000 0.5000

***

# Ac4PmGd, relaxed, DFT PBE
# ρ: 7.7 g cm⁻³
# formation energy from the elements: 0.338 eV per atom
# size of the total moment: 30.548 μB per cell
data_Ac4PmGd
_space_group_name_H-M_alt 'F -4 3 m'
_space_group_IT_number 216
_space_group_name_Hall 'F -4 2 3'
_cell_length_a 10.156
_cell_length_b 10.156
_cell_length_c 10.156
_cell_angle_alpha 90.00
_cell_angle_beta 90.00
_cell_angle_gamma 90.00
loop_
_atom_site_label
_atom_site_type_symbol
_atom_site_fract_x
_atom_site_fract_y
_atom_site_fract_z
Ac1 Ac 0.125 0.125 0.125
Pm1 Pm 0.000 0.000 0.500
Gd1 Gd 0.250 0.250 0.750

***

# AcPmGdPu, relaxed, DFT PBE
# ρ: 9.2 g cm⁻³
# formation energy from the elements: 0.254 eV per atom
# size of the total moment: 57.671 μB per cell
data_AcPmGdPu
_space_group_name_H-M_alt 'F -4 3 m'
_space_group_IT_number 216
_space_group_name_Hall 'F -4 2 3'
_cell_length_a 8.238
_cell_length_b 8.238
_cell_length_c 8.238
_cell_angle_alpha 90.00
_cell_angle_beta 90.00
_cell_angle_gamma 90.00
loop_
_atom_site_label
_atom_site_type_symbol
_atom_site_fract_x
_atom_site_fract_y
_atom_site_fract_z
Ac1 Ac 0.000 0.000 0.000
Pm1 Pm 0.250 0.250 0.250
Gd1 Gd 0.250 0.250 0.750
Pu1 Pu 0.000 0.000 0.500

***

# AcTbPmGd, relaxed, DFT PBE
# ρ: 8.0 g cm⁻³
# formation energy from the elements: 0.118 eV per atom
# size of the total moment: 31.921 μB per cell
data_AcTbPmGd
_space_group_name_H-M_alt 'F -4 3 m'
_space_group_IT_number 216
_space_group_name_Hall 'F -4 2 3'
_cell_length_a 8.314
_cell_length_b 8.314
_cell_length_c 8.314
_cell_angle_alpha 90.00
_cell_angle_beta 90.00
_cell_angle_gamma 90.00
loop_
_atom_site_label
_atom_site_type_symbol
_atom_site_fract_x
_atom_site_fract_y
_atom_site_fract_z
Ac1 Ac 0.000 0.000 0.000
Tb1 Tb 0.250 0.250 0.750
Pm1 Pm 0.000 0.000 0.500
Gd1 Gd 0.250 0.250 0.250

***

# AcPmGdTh, relaxed, DFT PBE
# ρ: 8.9 g cm⁻³
# formation energy from the elements: 0.168 eV per atom
# size of the total moment: 28.947 μB per cell
data_AcPmGdTh
_space_group_name_H-M_alt 'F -4 3 m'
_space_group_IT_number 216
_space_group_name_Hall 'F -4 2 3'
_cell_length_a 8.287
_cell_length_b 8.287
_cell_length_c 8.287
_cell_angle_alpha 90.00
_cell_angle_beta 90.00
_cell_angle_gamma 90.00
loop_
_atom_site_label
_atom_site_type_symbol
_atom_site_fract_x
_atom_site_fract_y
_atom_site_fract_z
Ac1 Ac 0.000 0.000 0.000
Pm1 Pm 0.250 0.250 0.750
Gd1 Gd 0.250 0.250 0.250
Th1 Th 0.000 0.000 0.500

***

# AcPmGdTm, relaxed, DFT PBE
# ρ: 8.2 g cm⁻³
# formation energy from the elements: 0.109 eV per atom
# size of the total moment: 31.506 μB per cell
data_AcPmGdTm
_space_group_name_H-M_alt 'F -4 3 m'
_space_group_IT_number 216
_space_group_name_Hall 'F -4 2 3'
_cell_length_a 8.276
_cell_length_b 8.276
_cell_length_c 8.276
_cell_angle_alpha 90.00
_cell_angle_beta 90.00
_cell_angle_gamma 90.00
loop_
_atom_site_label
_atom_site_type_symbol
_atom_site_fract_x
_atom_site_fract_y
_atom_site_fract_z
Ac1 Ac 0.000 0.000 0.000
Pm1 Pm 0.000 0.000 0.500
Gd1 Gd 0.250 0.250 0.750
Tm1 Tm 0.250 0.250 0.250

***

# AcPmGdZn, relaxed, DFT PBE
# ρ: 8.0 g cm⁻³
# formation energy from the elements: 0.145 eV per atom
# size of the total moment: 31.926 μB per cell
data_AcPmGdZn
_space_group_name_H-M_alt 'F -4 3 m'
_space_group_IT_number 216
_space_group_name_Hall 'F -4 2 3'
_cell_length_a 7.918
_cell_length_b 7.918
_cell_length_c 7.918
_cell_angle_alpha 90.00
_cell_angle_beta 90.00
_cell_angle_gamma 90.00
loop_
_atom_site_label
_atom_site_type_symbol
_atom_site_fract_x
_atom_site_fract_y
_atom_site_fract_z
Ac1 Ac 0.000 0.000 0.000
Pm1 Pm 0.250 0.250 0.250
Gd1 Gd 0.250 0.250 0.750
Zn1 Zn 0.000 0.000 0.500